[1]
! Y2FeHg | Alexandria via LeMat-Bulk | PBE | optimized geometry; values from VASP
! Crystal system: cubic
! DOS(E_F) (states/eV/cell): 3.7
! ΔH_f (0 K) (eV/atom): 0.14
&SYSTEM
  ibrav = 0, nat = 4, ntyp = 3
/
ATOMIC_SPECIES
Y 88.91 Y.upf
Fe 55.84 Fe.upf
Hg 200.59 Hg.upf
CELL_PARAMETERS angstrom
0.0000 3.5141 3.5141
3.5141 0.0000 3.5141
3.5141 3.5141 0.0000
ATOMIC_POSITIONS crystal
Y 0.0000 0.0000 0.0000
Y 0.2500 0.2500 0.2500
Fe 0.7500 0.7500 0.7500
Hg 0.5000 0.5000 0.5000

[2]
! Li5Pr2Cu12 | Alexandria via LeMat-Bulk | PBE | optimized geometry; values from VASP
! Crystal system: trigonal
! DOS(E_F) (states/eV/cell): 9.3
! ΔH_f (0 K) (eV/atom): -0.09
&SYSTEM
  ibrav = 0, nat = 19, ntyp = 3
/
ATOMIC_SPECIES
Li 6.94 Li.upf
Pr 140.91 Pr.upf
Cu 63.55 Cu.upf
CELL_PARAMETERS angstrom
4.3623 2.5186 4.2642
-4.3623 2.5186 4.2642
0.0000 -5.0372 4.2642
ATOMIC_POSITIONS crystal
Li 0.0000 0.0000 0.5000
Li 0.0000 0.5000 0.0000
Li 0.0909 0.0909 0.0909
Li 0.5000 0.0000 0.0000
Li 0.9091 0.9091 0.9091
Pr 0.3522 0.3522 0.3522
Pr 0.6478 0.6478 0.6478
Cu 0.0000 0.3001 0.6999
Cu 0.0000 0.6999 0.3001
Cu 0.1594 0.6582 0.6582
Cu 0.3001 0.0000 0.6999
Cu 0.3001 0.6999 0.0000
Cu 0.3418 0.3418 0.8406
Cu 0.3418 0.8406 0.3418
Cu 0.6582 0.1594 0.6582
Cu 0.6582 0.6582 0.1594
Cu 0.6999 0.0000 0.3001
Cu 0.6999 0.3001 0.0000
Cu 0.8406 0.3418 0.3418

[3]
! CrRuPt | Alexandria via LeMat-Bulk | PBE | optimized geometry; values from VASP
! Crystal system: trigonal
! DOS(E_F) (states/eV/cell): 3.2
! ΔH_f (0 K) (eV/atom): -0.01
! Excess energy over the best structure of this formula in the dataset (eV/atom): 0.077
&SYSTEM
  ibrav = 0, nat = 3, ntyp = 3
/
ATOMIC_SPECIES
Cr 52.00 Cr.upf
Ru 101.07 Ru.upf
Pt 195.08 Pt.upf
CELL_PARAMETERS angstrom
2.7095 0.0000 0.0000
-1.3547 2.3465 0.0000
0.0000 0.0000 6.5497
ATOMIC_POSITIONS crystal
Cr 0.0000 0.0000 0.0000
Ru 0.3333 0.6667 0.6984
Pt 0.6667 0.3333 0.3303

DOS(E_F) of number 2 (Li5Pr2Cu12)?
9.3 states/eV/cell